No. 1
Computed, not measured: crystalline Tb5NdY at its relaxed geometry at the PBE level of DFT.

It has space group C2/c (No. 15), with a = 11.789 Å, b = 6.782 Å, c = 12.266 Å, α = 90.00°, β = 110.42° and γ = 90.00°. Symmetry generates all atoms from Tb at (0.000, 0.090, 0.250), Tb at (0.079, 0.234, 0.000), Tb at (0.219, 0.132, 0.747), Nd at (0.000, 0.470, 0.750) and Y at (0.250, 0.250, 0.500).

As for the density: 7428 kg/m3. The value obtained for the formation energy is 17.3 kJ/mol of atoms. The total magnetization comes out at 0.00 μB per cell. The calculation puts the energy above the lowest structure with this stoichiometry at 0 meV per atom.

No. 2
Computed, not measured: crystalline MgSn2Pd at its relaxed geometry at the PBE level of DFT.

It has space group I-42d (No. 122), with a = 4.382 Å, b = 4.382 Å, c = 19.061 Å, α = 90.00°, β = 90.00° and γ = 90.00°. Symmetry generates all atoms from Mg at (0.000, 0.000, 0.000), Sn at (0.234, 0.250, 0.625) and Pd at (0.000, 0.000, 0.500).

As for the density: 6681 kg/m3. The value obtained for the formation energy is -16.6 kJ/mol of atoms. The total magnetization comes out at 0.00 μB per cell.

No. 3
Computed, not measured: crystalline CaCdAsBr2 at its relaxed geometry at the PBE level of DFT.

It has space group P4/mmm (No. 123), with a = 5.464 Å, b = 5.464 Å, c = 5.333 Å, α = 90.00°, β = 90.00° and γ = 90.00°. Symmetry generates all atoms from Ca at (0.000, 0.000, 0.000), Cd at (0.500, 0.500, 0.500), As at (0.500, 0.500, 0.000) and Br at (0.000, 0.500, 0.500).

As for the density: 4039 kg/m3. Its uncorrected formation energy is -0.419 eV per atom. The total magnetization comes out at 0.92 μB per cell. The calculation puts the energy above the lowest structure with this stoichiometry at 36 meV per atom.

No. 4
Computed, not measured: crystalline AcMgZn2Si2 at its relaxed geometry at the PBE level of DFT.

It has space group P-3m1 (No. 164), with a = 4.3778 Å, b = 4.3778 Å, c = 7.3568 Å, α = 90.00°, β = 90.00° and γ = 120.00°. Symmetry generates all atoms from Ac at (0.0000, 0.0000, 0.0000), Mg at (0.0000, 0.0000, 0.5000), Zn at (0.3333, 0.6667, 0.6779) and Si at (0.3333, 0.6667, 0.2840).

As for the density: 5961 kg/m3. Its uncorrected formation energy is -0.327 eV per atom. The total magnetization comes out at 0.00 μB per cell.

No. 5
Computed, not measured: crystalline Cs2TaReSi at its relaxed geometry at the PBE level of DFT.

It has space group P4/mmm (No. 123), with a = 6.522 Å, b = 6.522 Å, c = 4.752 Å, α = 90.00°, β = 90.00° and γ = 90.00°. Symmetry generates all atoms from Cs at (0.000, 0.500, 0.000), Ta at (0.000, 0.000, 0.500), Re at (0.000, 0.000, 0.000) and Si at (0.500, 0.500, 0.500).

As for the density: 5431 kg/m3. Its uncorrected formation energy is 1.954 eV per atom. The total magnetization comes out at 2.33 μB per cell.

No. 6
Computed, not measured: crystalline TlW3 at its relaxed geometry at the PBE level of DFT.

It has space group Fm-3m (No. 225), with a = 6.542 Å, b = 6.542 Å, c = 6.542 Å, α = 90.00°, β = 90.00° and γ = 90.00°. Symmetry generates all atoms from Tl at (0.000, 0.000, 0.000), W at (0.000, 0.000, 0.500) and W at (0.250, 0.250, 0.250).

As for the density: 17929 kg/m3. The value obtained for the formation energy is 87.3 kJ/mol of atoms. The total magnetization comes out at 0.00 μB per cell. The calculation puts the energy above the lowest structure with this stoichiometry at 334 meV per atom.

No. 7
Computed, not measured: crystalline CsSc2BeCr at its relaxed geometry at the PBE level of DFT.

It has space group P4/mmm (No. 123), with a = 5.212 Å, b = 5.212 Å, c = 4.602 Å, α = 90.00°, β = 90.00° and γ = 90.00°. Symmetry generates all atoms from Cs at (0.000, 0.000, 0.000), Sc at (0.000, 0.500, 0.000), Be at (0.000, 0.000, 0.500) and Cr at (0.500, 0.500, 0.500).

As for the density: 3770 kg/m3. The value obtained for the formation energy is 235.8 kJ/mol of atoms. The total magnetization comes out at 0.16 μB per cell. The calculation puts the energy above the lowest structure with this stoichiometry at 1558 meV per atom.

No. 8
Computed, not measured: crystalline CdSn2As at its relaxed geometry at the PBE level of DFT.

It has space group P4/mmm (No. 123), with a = 4.699 Å, b = 4.699 Å, c = 4.504 Å, α = 90.00°, β = 90.00° and γ = 90.00°. Symmetry generates all atoms from Cd at (0.000, 0.000, 0.000), Sn at (0.000, 0.500, 0.500) and As at (0.500, 0.500, 0.000).

As for the density: 7093 kg/m3. The value obtained for the formation energy is 15.4 kJ/mol of atoms. The total magnetization comes out at 0.00 μB per cell. The calculation puts the energy above the lowest structure with this stoichiometry at 144 meV per atom.

No. 9
Computed, not measured: crystalline PrHfCu10 at its relaxed geometry at the PBE level of DFT.

It has space group Pmmm (No. 47), with a = 4.098 Å, b = 5.007 Å, c = 8.659 Å, α = 90.00°, β = 90.00° and γ = 90.00°. Symmetry generates all atoms from Pr at (0.000, 0.000, 0.000), Hf at (0.000, 0.500, 0.500), Cu at (0.000, 0.000, 0.344), Cu at (0.000, 0.500, 0.182), Cu at (0.500, 0.000, 0.500), Cu at (0.500, 0.256, 0.261) and Cu at (0.500, 0.500, 0.000).

As for the density: 8925 kg/m3. The value obtained for the formation energy is -8.1 kJ/mol of atoms. The total magnetization comes out at 0.00 μB per cell.

No. 10
Computed, not measured: crystalline DyLuZn at its relaxed geometry at the PBE level of DFT.

It has space group P3m1 (No. 156), with a = 4.9511 Å, b = 4.9511 Å, c = 3.5765 Å, α = 90.00°, β = 90.00° and γ = 120.00°. Symmetry generates all atoms from Dy at (0.0000, 0.0000, 0.0000), Lu at (0.6667, 0.3333, 0.5318) and Zn at (0.3333, 0.6667, 0.3251).

As for the density: 8811 kg/m3. The value obtained for the formation energy is -5.1 kJ/mol of atoms. The total magnetization comes out at 0.00 μB per cell. The calculation puts the energy above the lowest structure with this stoichiometry at 157 meV per atom.

No. 11
Computed, not measured: crystalline Zr2TaP at its relaxed geometry at the PBE level of DFT.

It has space group P4/mmm (No. 123), with a = 3.483 Å, b = 3.483 Å, c = 6.150 Å, α = 90.00°, β = 90.00° and γ = 90.00°. Symmetry generates all atoms from Zr at (0.000, 0.000, 0.232), Ta at (0.500, 0.500, 0.500) and P at (0.500, 0.500, 0.000).

As for the density: 8779 kg/m3. The value obtained for the formation energy is -49.2 kJ/mol of atoms. The total magnetization comes out at 0.00 μB per cell.

No. 12
Computed, not measured: crystalline Mn2ZnAg at its relaxed geometry at the PBE level of DFT.

It has space group P4/mmm (No. 123), with a = 2.854 Å, b = 2.854 Å, c = 7.436 Å, α = 90.00°, β = 90.00° and γ = 90.00°. Symmetry generates all atoms from Mn at (0.000, 0.000, 0.233), Zn at (0.500, 0.500, 0.000) and Ag at (0.500, 0.500, 0.500).

As for the density: 7765 kg/m3. The value obtained for the formation energy is 21.5 kJ/mol of atoms. The total magnetization comes out at 7.08 μB per cell.